(1)
Y6Sb3TeAs2: relaxed, PBE.

Summary:
Total moment (μB/f.u.): 0.00
Energy relative to the elements, uncorrected (eV/atom): -1.34

The structure in CIF format:
```
data_Y6Sb3TeAs2
_space_group_name_H-M_alt 'P 1'
_space_group_IT_number 1
_space_group_name_Hall 'P 1'
_cell_length_a 4.2869
_cell_length_b 8.6259
_cell_length_c 9.6013
_cell_angle_alpha 102.92
_cell_angle_beta 102.90
_cell_angle_gamma 90.00
loop_
_atom_site_label
_atom_site_type_symbol
_atom_site_fract_x
_atom_site_fract_y
_atom_site_fract_z
Y1 Y 0.3282 0.9007 0.6565
Y2 Y 0.6712 0.5743 0.3423
Y3 Y 0.6718 0.0993 0.3435
Y4 Y 0.0073 0.2603 0.0146
Y5 Y 0.9927 0.7397 0.9854
Y6 Y 0.3288 0.4257 0.6577
Sb1 Sb 0.5000 0.5000 0.0000
Sb2 Sb 0.8376 0.1673 0.6752
Sb3 Sb 0.1624 0.8327 0.3248
Te1 Te 0.5000 0.0000 0.0000
As1 As 0.8320 0.6657 0.6640
As2 As 0.1680 0.3343 0.3360
```

(2)
Y8Sb3Te4As: relaxed, PBE.

Summary:
Total moment (μB/f.u.): 0.00
Energy relative to the elements, uncorrected (eV/atom): -1.34

The structure in CIF format:
```
data_Y8Sb3Te4As
_space_group_name_H-M_alt 'P 1'
_space_group_IT_number 1
_space_group_name_Hall 'P 1'
_cell_length_a 8.6854
_cell_length_b 8.7244
_cell_length_c 8.6855
_cell_angle_alpha 119.85
_cell_angle_beta 120.00
_cell_angle_gamma 90.00
loop_
_atom_site_label
_atom_site_type_symbol
_atom_site_fract_x
_atom_site_fract_y
_atom_site_fract_z
Y1 Y 0.2369 0.7300 0.9931
Y2 Y 0.2369 0.7300 0.4738
Y3 Y 0.2537 0.2612 0.5075
Y4 Y 0.7563 0.7300 0.9931
Y5 Y 0.2437 0.2700 0.0069
Y6 Y 0.7463 0.7388 0.4925
Y7 Y 0.7631 0.2700 0.5262
Y8 Y 0.7631 0.2700 0.0069
Sb1 Sb 0.5000 0.5000 0.0000
Sb2 Sb 0.5000 0.5000 0.5000
Sb3 Sb 0.0000 0.5000 0.5000
Te1 Te 0.5000 0.0000 0.0000
Te2 Te 0.5000 0.0000 0.5000
Te3 Te 0.0000 0.0000 0.0000
Te4 Te 0.0000 0.0000 0.5000
As1 As 0.0000 0.5000 0.0000
```

(3)
Y6Sb2Te3As: relaxed, PBE.

Summary:
Total moment (μB/f.u.): 0.00
Energy relative to the elements, uncorrected (eV/atom): -1.36

The structure in CIF format:
```
data_Y6Sb2Te3As
_space_group_name_H-M_alt 'P 1'
_space_group_IT_number 1
_space_group_name_Hall 'P 1'
_cell_length_a 4.3164
_cell_length_b 8.7171
_cell_length_c 9.7446
_cell_angle_alpha 103.39
_cell_angle_beta 102.80
_cell_angle_gamma 90.00
loop_
_atom_site_label
_atom_site_type_symbol
_atom_site_fract_x
_atom_site_fract_y
_atom_site_fract_z
Y1 Y 0.3458 0.9181 0.6915
Y2 Y 0.6673 0.5760 0.3345
Y3 Y 0.6542 0.0819 0.3085
Y4 Y 0.0010 0.2242 0.0020
Y5 Y 0.9990 0.7758 0.9980
Y6 Y 0.3327 0.4240 0.6655
Sb1 Sb 0.8333 0.6681 0.6665
Sb2 Sb 0.1667 0.3319 0.3335
Te1 Te 0.5000 0.5000 0.0000
Te2 Te 0.8303 0.1651 0.6606
Te3 Te 0.1697 0.8349 0.3394
As1 As 0.5000 0.0000 0.0000
```

(4)
YSb2TeAs: relaxed, PBE.

Summary:
Total moment (μB/f.u.): 1.53
Energy relative to the elements, uncorrected (eV/atom): 0.57

The structure in CIF format:
```
data_YSb2TeAs
_space_group_name_H-M_alt 'P 1'
_space_group_IT_number 1
_space_group_name_Hall 'P 1'
_cell_length_a 5.8408
_cell_length_b 5.8408
_cell_length_c 5.7102
_cell_angle_alpha 90.00
_cell_angle_beta 90.00
_cell_angle_gamma 90.00
loop_
_atom_site_label
_atom_site_type_symbol
_atom_site_fract_x
_atom_site_fract_y
_atom_site_fract_z
Y1 Y 0.0000 0.0000 0.0000
Sb1 Sb 0.0000 0.5000 0.0000
Sb2 Sb 0.5000 0.0000 0.0000
As1 As 0.5000 0.5000 0.5000
Te1 Te 0.0000 0.0000 0.5000
```

Please write out number 2 again, unchanged.
Y8Sb3Te4As: relaxed, PBE.

Summary:
Total moment (μB/f.u.): 0.00
Energy relative to the elements, uncorrected (eV/atom): -1.34

The structure in CIF format:
```
data_Y8Sb3Te4As
_space_group_name_H-M_alt 'P 1'
_space_group_IT_number 1
_space_group_name_Hall 'P 1'
_cell_length_a 8.6854
_cell_length_b 8.7244
_cell_length_c 8.6855
_cell_angle_alpha 119.85
_cell_angle_beta 120.00
_cell_angle_gamma 90.00
loop_
_atom_site_label
_atom_site_type_symbol
_atom_site_fract_x
_atom_site_fract_y
_atom_site_fract_z
Y1 Y 0.2369 0.7300 0.9931
Y2 Y 0.2369 0.7300 0.4738
Y3 Y 0.2537 0.2612 0.5075
Y4 Y 0.7563 0.7300 0.9931
Y5 Y 0.2437 0.2700 0.0069
Y6 Y 0.7463 0.7388 0.4925
Y7 Y 0.7631 0.2700 0.5262
Y8 Y 0.7631 0.2700 0.0069
Sb1 Sb 0.5000 0.5000 0.0000
Sb2 Sb 0.5000 0.5000 0.5000
Sb3 Sb 0.0000 0.5000 0.5000
Te1 Te 0.5000 0.0000 0.0000
Te2 Te 0.5000 0.0000 0.5000
Te3 Te 0.0000 0.0000 0.0000
Te4 Te 0.0000 0.0000 0.5000
As1 As 0.0000 0.5000 0.0000
```